1.
CaNiMo (GGA-PBE, optimized geometry); energy = -5.942 eV per atom; energy of formation from the pure elements = 0.8 eV/f.u.
1.0
5.2790 -0.0278 0.0903
-0.7782 5.8274 -0.0519
-1.8072 1.3787 3.6485
Mo Ca Ni
2 2 2
Direct
0.6909 0.6284 0.2427
0.2001 0.7464 0.9389
0.2626 0.3509 0.6677
0.6284 0.0240 0.5139
0.8500 0.4190 0.9271
0.0412 0.9558 0.2545

---

2.
Ca3NiMo (GGA-PBE, optimized geometry); energy = -3.321 eV per atom; energy of formation from the pure elements = 6.0 eV/f.u.
1.0
5.3381 0.0000 0.0000
0.0000 5.3381 0.0000
0.0000 0.0000 5.3381
Ni Ca Mo
1 3 1
Direct
0.5000 0.5000 0.5000
0.0000 0.0000 0.5000
0.5000 0.0000 0.0000
0.0000 0.5000 0.0000
0.0000 0.0000 0.0000

---

3.
CaNiMo (GGA-PBE, optimized geometry); energy = -5.504 eV per atom; energy of formation from the pure elements = 2.1 eV/f.u.
1.0
4.6567 0.0000 0.0000
-2.3283 4.0328 0.0000
0.0000 0.0000 2.8216
Ni Mo Ca
1 1 1
Direct
0.3333 0.6667 0.5121
0.6667 0.3333 0.4877
0.0000 0.0000 0.0002

---

4.
CaNiMo (GGA-PBE, optimized geometry); energy = -5.343 eV per atom; energy of formation from the pure elements = 2.6 eV/f.u.
1.0
-3.7068 0.8208 2.1935
-1.9148 3.9312 -0.3244
-3.7853 0.4223 -2.1724
Ni Mo Ca
1 1 1
Direct
0.5000 0.5000 0.5000
0.2500 0.2500 0.2500
0.7500 0.7500 0.7500

---

5.
CaNi2Mo (GGA-PBE, optimized geometry); energy = -5.469 eV per atom; energy of formation from the pure elements = 2.5 eV/f.u.
1.0
7.0494 0.0000 0.0000
0.0000 7.0494 0.0000
3.5247 3.5247 2.9378
Mo Ni Ca
2 4 2
Direct
0.7500 0.2500 0.5000
0.0000 0.0000 0.0000
0.6764 0.1250 0.2500
0.8750 0.9264 0.7500
0.3750 0.3236 0.7500
0.0736 0.6250 0.2500
0.5000 0.5000 0.0000
0.2500 0.7500 0.5000

---

6.
CaNi4Mo (GGA-PBE, optimized geometry); energy = -5.836 eV per atom; energy of formation from the pure elements = 0.9 eV/f.u.
1.0
4.7365 -1.2377 0.1893
1.2944 -4.7234 0.1248
2.1527 -2.0536 -3.8924
Ni Ca Mo
4 1 1
Direct
0.3742 0.8774 0.3742
0.8774 0.3742 0.3742
0.3742 0.3742 0.8774
0.3742 0.3742 0.3742
0.7500 0.7500 0.7500
0.0000 0.0000 0.0000

---

7.
Ca3NiMo (GGA-PBE, optimized geometry); energy = -3.821 eV per atom; energy of formation from the pure elements = 3.5 eV/f.u.
1.0
-2.1596 4.2303 -2.4440
-1.2997 -3.0733 -4.1711
-4.7095 -1.0917 2.2718
Ca Ni Mo
3 1 1
Direct
0.5000 0.0000 0.0000
0.0000 0.0000 0.5000
0.0000 0.5000 0.0000
0.0000 0.0000 0.0000
0.5000 0.5000 0.5000

---

8.
CaNiMo4 (GGA-PBE, optimized geometry); energy = -7.926 eV per atom; energy of formation from the pure elements = 3.6 eV/f.u.
1.0
0.0000 3.7674 3.7674
3.7674 0.0000 3.7674
3.7674 3.7674 0.0000
Ca Mo Ni
1 4 1
Direct
0.0000 0.0000 0.0000
0.3744 0.3744 0.8767
0.8767 0.3744 0.3744
0.3744 0.3744 0.3744
0.3744 0.8767 0.3744
0.7500 0.7500 0.7500

---

9.
CaNiMo (GGA-PBE, optimized geometry); energy = -5.892 eV per atom; energy of formation from the pure elements = 0.9 eV/f.u.
1.0
-1.2044 4.3430 4.6299
1.9949 -4.7693 3.6851
2.6912 0.7095 0.5674
Ni Ca Mo
2 2 2
Direct
0.9429 0.6790 0.8147
0.8937 0.3454 0.4613
0.1803 0.0913 0.9874
0.6563 0.9331 0.2887
0.5788 0.4457 0.9808
0.2578 0.5788 0.2952

---

10.
CaNi2Mo (GGA-PBE, optimized geometry); energy = -5.576 eV per atom; energy of formation from the pure elements = 2.1 eV/f.u.
1.0
8.6268 -0.0483 -0.0284
8.1259 2.8972 -0.0284
8.1259 1.3819 2.5465
Ca Ni Mo
1 2 1
Direct
0.2500 0.2500 0.2500
0.4903 0.4903 0.4903
0.0097 0.0097 0.0097
0.7500 0.7500 0.7500

---

11.
CaNiMo (GGA-PBE, optimized geometry); energy = -5.890 eV per atom; energy of formation from the pure elements = 0.9 eV/f.u.
1.0
3.2926 0.0033 -0.0066
1.6433 6.9281 0.0188
0.0036 -2.1082 5.2712
Ca Ni Mo
2 2 2
Direct
0.9516 0.1341 0.4532
0.5824 0.8718 0.8373
0.6448 0.7461 0.2650
0.2641 0.5073 0.8274
0.2590 0.5193 0.3755
0.8430 0.3498 0.0394

---

12.
CaNiMo3 (GGA-PBE, optimized geometry); energy = -6.839 eV per atom; energy of formation from the pure elements = 6.1 eV/f.u.
1.0
-2.4774 0.2382 3.8993
-3.0697 -2.9746 -1.7686
2.4163 -3.5347 1.7511
Mo Ni Ca
3 1 1
Direct
0.5000 0.0000 0.0000
0.0000 0.5000 0.0000
0.0000 0.0000 0.5000
0.0000 0.0000 0.0000
0.5000 0.5000 0.5000